{"formula": "K3MnTe2O8", "functional": "GGA+U", "state": "optimized geometry", "lattice_angstrom": [[6.081, 0.000, 0.000], [-3.040, 5.266, 0.000], [0.000, 0.000, 7.767]], "species": ["O", "O", "O", "O", "O", "O", "O", "O", "Mn", "K", "K", "K", "Te", "Te"], "frac_coords": [[0.857, 0.713, 0.661], [0.287, 0.143, 0.661], [0.857, 0.143, 0.661], [0.713, 0.857, 0.339], [0.667, 0.333, 0.893], [0.143, 0.287, 0.339], [0.143, 0.857, 0.339], [0.333, 0.667, 0.107], [0.000, 0.000, 0.500], [0.000, 0.000, 0.000], [0.667, 0.333, 0.211], [0.333, 0.667, 0.789], [0.667, 0.333, 0.655], [0.333, 0.667, 0.345]], "dft_energy_ev_per_atom": -5.2829, "n_ef_per_ev_atom": 0.26, "spacegroup": "No. 164"}